Record 1
A plane-wave DFT calculation with PBE was carried out for crystalline Pr7Al2Cu2 at its relaxed geometry.

Lattice parameters (Å, degrees): 6.989 6.989 7.173 90.00 90.00 108.88
Atoms (fractional coordinates):
Pr 0.000 0.000 0.000
Pr 0.000 0.500 0.269
Pr 0.000 0.500 0.731
Pr 0.500 0.000 0.269
Pr 0.500 0.000 0.731
Pr 0.500 0.500 0.256
Pr 0.500 0.500 0.744
Al 0.160 0.160 0.500
Al 0.840 0.840 0.500
Cu 0.290 0.710 0.000
Cu 0.710 0.290 0.000

Computed properties:
E ... -4.46 eV per atom
E_form ... 0.004 eV/atom



Record 2
A plane-wave DFT calculation with PBE was carried out for crystalline AcDy2Sb at its relaxed geometry.

Lattice parameters (Å, degrees): 4.991 4.991 4.901 90.00 90.00 90.00
Atoms (fractional coordinates):
Ac 0.000 0.000 0.000
Dy 0.000 0.500 0.500
Dy 0.500 0.000 0.500
Sb 0.500 0.500 0.000

Computed properties:
E ... -4.78 eV per atom
Uncorrected formation energy ... -1.7 eV per formula unit
Excess energy over the best structure of this formula in the dataset ... 38 meV/atom



Record 3
A plane-wave DFT calculation with PBE was carried out for crystalline Dy3Tm4Pu at its relaxed geometry.

Lattice parameters (Å, degrees): 11.162 7.100 6.130 90.00 90.00 90.00
Atoms (fractional coordinates):
Dy 0.000 0.122 0.000
Dy 0.250 0.125 0.331
Dy 0.250 0.875 0.831
Dy 0.500 0.878 0.500
Dy 0.750 0.125 0.331
Dy 0.750 0.875 0.831
Tm 0.000 0.378 0.499
Tm 0.000 0.627 0.999
Tm 0.248 0.627 0.337
Tm 0.252 0.373 0.837
Tm 0.500 0.373 0.499
Tm 0.500 0.622 0.999
Tm 0.748 0.373 0.837
Tm 0.752 0.627 0.337
Pu 0.000 0.874 0.498
Pu 0.500 0.126 0.998

Computed properties:
E ... -5.71 eV per atom
E_form ... 0.042 eV/atom
Excess energy over the best structure of this formula in the dataset ... 0 meV/atom



Record 4
A plane-wave DFT calculation with PBE was carried out for crystalline Pm2Zr2Ge2C at its relaxed geometry.

Lattice parameters (Å, degrees): 8.472 8.472 8.472 149.49 149.49 43.70
Atoms (fractional coordinates):
Pm 0.168 0.168 0.000
Pm 0.832 0.832 0.000
Zr 0.000 0.500 0.500
Zr 0.500 0.000 0.500
Ge 0.372 0.372 0.000
Ge 0.628 0.628 0.000
C 0.000 0.000 0.000

Computed properties:
E ... -7.18 eV per atom
E_form ... -0.746 eV/atom